# CeNiB2O6

A relaxed CeNiB2O6 crystal (GGA+U, Alexandria).

Lattice parameters (Å, degrees): 4.8680 4.8680 15.9258 90.00 90.00 120.00
Space group R-3 (No. 148, hexagonal axes)
Unique sites:
Ce (0.0000, 0.0000, 0.0000) [3 per cell]
Ni (0.0000, 0.0000, 0.5000) [3 per cell]
B (0.0000, 0.0000, 0.2428) [6 per cell]
O (0.0193, 0.7256, 0.2455) [18 per cell]

calculated total energy	-7.598	eV per atom